No. 1
## K5C3N6 (GGA-PBEsol)

Data for crystalline K5C3N6 at its relaxed geometry.

## Properties
Formation energy from raw total energies (eV/f.u.): -5.73
DOS at the Fermi energy (states/eV/f.u.): 14.00

Unit cell a=6.8694 b=6.8694 c=6.8694 alpha=109.47 beta=109.47 gamma=109.47
Site moments in Bohr magnetons follow the coordinates.
Sites, in units of the cell vectors:
K 0.5000 0.0000 0.0000  0.00
K 0.0000 0.5000 0.0000  0.00
K 0.0000 0.0000 0.0000  0.00
K 0.5000 0.5000 0.5000  0.00
K 0.0000 0.0000 0.5000  0.00
N 0.0000 0.3437 0.3437  0.13
N 0.6563 0.6563 0.0000  0.13
N 0.0000 0.6563 0.6563  0.13
N 0.3437 0.0000 0.3437  0.13
N 0.6563 0.0000 0.6563  0.13
N 0.3437 0.3437 0.0000  0.13
C 0.5000 0.5000 0.0000  -0.02
C 0.0000 0.5000 0.5000  -0.02
C 0.5000 0.0000 0.5000  -0.02

***

No. 2
## K2CN2 (GGA-PBEsol)

Data for crystalline K2CN2 at its relaxed geometry.

## Properties
Formation energy from raw total energies (eV/f.u.): -2.63
DOS at the Fermi energy (states/eV/f.u.): 0.00

Unit cell a=4.0200 b=4.0201 c=5.7491 alpha=76.91 beta=76.91 gamma=89.03
Sites, in units of the cell vectors:
K 0.3225 0.3225 0.2890
K 0.6775 0.6775 0.7110
N 0.1608 0.1608 0.7952
N 0.8392 0.8392 0.2048
C 0.0000 0.0000 0.0000

***

No. 3
## KCN (GGA-PBEsol)

Data for crystalline KCN at its relaxed geometry.

## Properties
Formation energy from raw total energies (eV/f.u.): -0.66
DOS at the Fermi energy (states/eV/f.u.): 0.00

Unit cell a=4.3041 b=4.3041 c=8.4906 alpha=92.94 beta=102.76 gamma=117.59
Sites, in units of the cell vectors:
N 0.9432 0.1737 0.7808
N 0.1071 0.8376 0.2808
K 0.5191 0.5430 0.4560
K 0.4130 0.9369 0.9560
C 0.9943 0.2889 0.6602
C 0.8713 0.6659 0.1602

***

No. 4
## KCN2O (GGA-PBEsol)

Data for crystalline KCN2O at its relaxed geometry.

## Properties
Formation energy from raw total energies (eV/f.u.): 8.13
DOS at the Fermi energy (states/eV/f.u.): 2.38

Unit cell a=3.1218 b=3.1218 c=6.0996 alpha=90.00 beta=90.00 gamma=90.00
Site moments in Bohr magnetons follow the coordinates.
Sites, in units of the cell vectors:
O 0.0000 0.0000 0.5000  0.81
C 0.0000 0.0000 0.0000  0.01
N 0.0000 0.5000 0.0000  -0.01
N 0.5000 0.0000 0.0000  -0.01
K 0.5000 0.5000 0.5000  0.10

***

No. 5
## K2PtC4N4 (GGA-PBEsol)

Data for crystalline K2PtC4N4 at its relaxed geometry.

## Properties
Formation energy from raw total energies (eV/f.u.): -1.84
DOS at the Fermi energy (states/eV/f.u.): 0.00

Unit cell a=6.9514 b=9.0282 c=13.7038 alpha=90.00 beta=90.00 gamma=90.00
Sites, in units of the cell vectors:
K 0.7022 0.1460 0.8974
K 0.2978 0.6460 0.3974
K 0.2022 0.1460 0.6026
K 0.7978 0.8540 0.3974
K 0.2022 0.3540 0.8974
K 0.7978 0.6460 0.1026
K 0.7022 0.3540 0.6026
K 0.2978 0.8540 0.1026
C 0.4178 0.4597 0.2102
C 0.5822 0.5403 0.7898
C 0.4065 0.1966 0.1109
C 0.9178 0.0403 0.2102
C 0.0935 0.6966 0.8891
C 0.5935 0.8034 0.8891
C 0.4065 0.3034 0.3891
C 0.4178 0.0403 0.2898
C 0.0822 0.9597 0.7898
C 0.0935 0.8034 0.6109
C 0.5822 0.9597 0.7102
C 0.5935 0.6966 0.6109
C 0.0822 0.5403 0.7102
C 0.9178 0.4597 0.2898
C 0.9065 0.1966 0.3891
C 0.9065 0.3034 0.1109
Pt 0.9116 0.2500 0.2500
Pt 0.0884 0.7500 0.7500
Pt 0.5884 0.7500 0.7500
Pt 0.4116 0.2500 0.2500
N 0.5736 0.0844 0.6861
N 0.3986 0.1665 0.0277
N 0.8986 0.3335 0.0277
N 0.5736 0.4156 0.8139
N 0.8986 0.1665 0.4723
N 0.4264 0.9156 0.3139
N 0.9264 0.9156 0.1861
N 0.6014 0.6665 0.5277
N 0.6014 0.8335 0.9723
N 0.0736 0.0844 0.8139
N 0.9264 0.5844 0.3139
N 0.1014 0.8335 0.5277
N 0.4264 0.5844 0.1861
N 0.1014 0.6665 0.9723
N 0.0736 0.4156 0.6861
N 0.3986 0.3335 0.4723

***

No. 6
## KPtCN2 (GGA-PBEsol)

Data for crystalline KPtCN2 at its relaxed geometry.

## Properties
Formation energy from raw total energies (eV/f.u.): 8.15
DOS at the Fermi energy (states/eV/f.u.): 3.13

Unit cell a=3.8617 b=4.2322 c=4.2322 alpha=90.00 beta=90.00 gamma=90.00
Site moments in Bohr magnetons follow the coordinates.
Sites, in units of the cell vectors:
C 0.5000 0.0000 0.0000  0.10
N 0.0000 0.5000 0.0000  0.87
N 0.0000 0.0000 0.5000  0.87
K 0.5000 0.5000 0.5000  0.02
Pt 0.0000 0.0000 0.0000  0.38